1.
A plane-wave DFT calculation with GGA-PBE was carried out for crystalline NdTmMo2C3 at its relaxed geometry.

The structure in POSCAR format:
```
NdTmMo2C3
1.0
-2.315 -5.239 1.554
1.067 -5.502 1.953
-0.293 3.345 4.682
Mo C Tm Nd
2 3 1 1
Direct
0.151 0.151 0.878
0.849 0.849 0.121
0.277 0.277 0.242
0.731 0.731 0.765
0.997 0.997 0.987
0.386 0.386 0.681
0.611 0.611 0.326
```

## Properties
Raw total energy (eV per atom): -8.629

2.
A plane-wave DFT calculation with GGA-PBE was carried out for crystalline Nd2MoWC3 at its relaxed geometry.

The structure in POSCAR format:
```
Nd2MoWC3
1.0
-4.886 -1.997 3.555
-4.243 -4.542 1.366
5.291 -0.808 2.493
W C Mo Nd
1 3 1 2
Direct
0.840 0.840 0.176
0.253 0.253 0.227
0.999 0.999 0.498
0.749 0.749 0.775
0.158 0.158 0.821
0.392 0.392 0.689
0.608 0.608 0.314
```

## Properties
Raw total energy (eV per atom): -8.921

3.
A plane-wave DFT calculation with GGA-PBE was carried out for crystalline NdYMo2C3 at its relaxed geometry.

The structure in POSCAR format:
```
NdYMo2C3
1.0
-4.307 -4.075 0.477
-2.205 -4.529 3.163
-2.097 4.811 2.454
C Nd Y Mo
3 1 1 2
Direct
0.276 0.276 0.237
0.728 0.728 0.767
0.998 0.998 0.991
0.610 0.610 0.326
0.387 0.387 0.679
0.152 0.152 0.881
0.848 0.848 0.119
```

## Properties
Raw total energy (eV per atom): -8.907

4.
A plane-wave DFT calculation with GGA-PBE was carried out for crystalline NiMo2C at its relaxed geometry.

The structure in POSCAR format:
```
NiMo2C
1.0
-1.336 3.545 -3.355
1.194 -0.563 -4.886
-11.514 -7.334 0.650
Ni C Mo
6 6 12
Direct
0.918 0.418 0.250
0.246 0.754 0.250
0.754 0.246 0.750
0.418 0.918 0.750
0.582 0.082 0.250
0.082 0.582 0.750
0.666 0.167 0.500
0.167 0.666 0.000
0.000 0.500 0.500
0.500 0.000 0.000
0.833 0.334 0.000
0.334 0.833 0.500
0.301 0.135 0.404
0.532 0.366 0.097
0.802 0.967 0.904
0.198 0.033 0.096
0.135 0.301 0.904
0.468 0.634 0.903
0.366 0.532 0.597
0.699 0.865 0.596
0.967 0.802 0.404
0.033 0.198 0.596
0.634 0.468 0.403
0.865 0.699 0.096
```

## Properties
Raw total energy (eV per atom): -9.046

Question: raw total energy of number 1 (NdTmMo2C3)?
Answer: -8.629 eV per atom